Record 1
# Pr3NdPd GGA-PBE optimized geometry
data_Pr3NdPd
_chemical_formula_sum 'Pr6 Nd2 Pd2'
_cell_length_a 3.889
_cell_length_b 6.559
_cell_length_c 13.176
_cell_angle_alpha 85.31
_cell_angle_beta 81.51
_cell_angle_gamma 72.76
_space_group_name_H-M_alt 'P 1'
_space_group_IT_number 1
loop_
_space_group_symop_operation_xyz
'x,y,z'
loop_
_atom_site_label
_atom_site_fract_x
_atom_site_fract_y
_atom_site_fract_z
Pd1 0.452 0.326 0.771
Pd2 0.759 0.344 0.138
Nd1 0.104 0.505 0.287
Nd2 0.223 0.558 0.996
Pr1 0.427 0.625 0.522
Pr2 0.786 0.044 0.385
Pr3 0.990 0.106 0.915
Pr4 0.761 0.719 0.758
Pr5 0.109 0.164 0.619
Pr6 0.452 0.946 0.150
# - ΔE to the lowest computed polymorph (meV/atom) = 0
# - energy (eV/atom) = -5.1636
# - DOS(E_F) (states/eV/atom) = 1.2671
# - calculated volume (Å³/cell) = 317.2
# - formation energy (eV/atom) = -0.304
# - space group = Cm, No. 8

***

Record 2
# PrNd2Pd2 GGA-PBE optimized geometry
data_PrNd2Pd2
_chemical_formula_sum 'Pr1 Nd2 Pd2'
_cell_length_a 4.829
_cell_length_b 4.829
_cell_length_c 7.093
_cell_angle_alpha 111.89
_cell_angle_beta 111.89
_cell_angle_gamma 89.96
_space_group_name_H-M_alt 'P 1'
_space_group_IT_number 1
loop_
_space_group_symop_operation_xyz
'x,y,z'
loop_
_atom_site_label
_atom_site_fract_x
_atom_site_fract_y
_atom_site_fract_z
Pd1 0.590 0.590 0.217
Pd2 0.410 0.410 0.783
Nd1 0.753 0.247 0.500
Nd2 0.247 0.753 0.500
Pr1 0.000 0.000 0.000
# - ΔE to the lowest computed polymorph (meV/atom) = 194
# - energy (eV/atom) = -5.3681
# - DOS(E_F) (states/eV/atom) = 0.9867
# - calculated volume (Å³/cell) = 140.6
# - formation energy (eV/atom) = -0.428
# - space group = C2/m, No. 12

***

Record 3
# Pr4NdPd4 GGA-PBE optimized geometry
data_Pr4NdPd4
_chemical_formula_sum 'Pr8 Nd2 Pd8'
_cell_length_a 6.092
_cell_length_b 9.176
_cell_length_c 9.176
_cell_angle_alpha 90.00
_cell_angle_beta 90.00
_cell_angle_gamma 90.00
_space_group_name_H-M_alt 'P 1'
_space_group_IT_number 1
loop_
_space_group_symop_operation_xyz
'x,y,z'
loop_
_atom_site_label
_atom_site_fract_x
_atom_site_fract_y
_atom_site_fract_z
Pd1 0.899 0.281 0.879
Pd2 0.399 0.379 0.219
Pd3 0.899 0.719 0.121
Pd4 0.601 0.219 0.621
Pd5 0.101 0.879 0.719
Pd6 0.601 0.781 0.379
Pd7 0.399 0.621 0.781
Pd8 0.101 0.121 0.281
Pr1 0.408 0.312 0.911
Pr2 0.908 0.589 0.812
Pr3 0.908 0.411 0.188
Pr4 0.592 0.089 0.312
Pr5 0.592 0.911 0.688
Pr6 0.092 0.188 0.589
Pr7 0.092 0.812 0.411
Pr8 0.408 0.688 0.089
Nd1 0.000 0.000 0.000
Nd2 0.500 0.500 0.500
# - energy (eV/atom) = -5.5355
# - DOS(E_F) (states/eV/atom) = 0.8651
# - calculated volume (Å³/cell) = 512.9
# - formation energy (eV/atom) = -0.574
# - space group = P4_2/n, No. 86